# 1
# Hf8Fe2Ni (GGA-PBE, relaxed)
# Energy of formation (eV per formula unit): -1.36
# Mass density (g/cm3): 12.7
# Size of the total moment (Bohr magnetons per cell): 0.0
# Calculated volume (A^3/atom): 19.022
data_Hf8Fe2Ni
_chemical_formula_sum 'Hf16 Fe4 Ni2'
_cell_length_a 16.448
_cell_length_b 4.561
_cell_length_c 5.967
_cell_angle_alpha 90.00
_cell_angle_beta 110.81
_cell_angle_gamma 90.00
_space_group_name_H-M_alt 'C 1 2/m 1'
_space_group_IT_number 12
_space_group_name_Hall '-C 2y'
loop_
_atom_site_label
_atom_site_type_symbol
_atom_site_fract_x
_atom_site_fract_y
_atom_site_fract_z
Hf1 Hf 0.031 0.000 0.281
Hf2 Hf 0.094 0.500 0.970
Hf3 Hf 0.176 0.500 0.502
Hf4 Hf 0.201 0.000 0.840
Fe1 Fe 0.166 0.000 0.227
Ni1 Ni 0.000 0.500 0.500

# 2
# NdYSn (GGA-PBE, relaxed)
# Energy of formation (eV per formula unit): -1.34
# Mass density (g/cm3): 5.8
# Size of the total moment (Bohr magnetons per cell): 0.0
# Calculated volume (A^3/atom): 33.565
data_NdYSn
_chemical_formula_sum 'Nd6 Y6 Sn6'
_cell_length_a 5.2103
_cell_length_b 5.2103
_cell_length_c 25.6977
_cell_angle_alpha 90.00
_cell_angle_beta 90.00
_cell_angle_gamma 120.00
_space_group_name_H-M_alt 'R -3 m'
_space_group_IT_number 166
_space_group_name_Hall '-R 3 2"'
loop_
_atom_site_label
_atom_site_type_symbol
_atom_site_fract_x
_atom_site_fract_y
_atom_site_fract_z
Nd1 Nd 0.0000 0.0000 0.1260
Y1 Y 0.0000 0.0000 0.3755
Sn1 Sn 0.0000 0.0000 0.2537

# 3
# CeDyNi10 (GGA-PBE, relaxed)
# Energy of formation (eV per formula unit): -4.05
# Mass density (g/cm3): 9.0
# Size of the total moment (Bohr magnetons per cell): 2.3
# Calculated volume (A^3/atom): 13.661
data_CeDyNi10
_chemical_formula_sum 'Ce1 Dy1 Ni10'
_cell_length_a 3.978
_cell_length_b 4.884
_cell_length_c 8.438
_cell_angle_alpha 90.00
_cell_angle_beta 90.00
_cell_angle_gamma 90.00
_space_group_name_H-M_alt 'P m m m'
_space_group_IT_number 47
_space_group_name_Hall '-P 2 2'
loop_
_atom_site_label
_atom_site_type_symbol
_atom_site_fract_x
_atom_site_fract_y
_atom_site_fract_z
Ce1 Ce 0.000 0.000 0.000
Dy1 Dy 0.000 0.500 0.500
Ni1 Ni 0.000 0.000 0.330
Ni2 Ni 0.000 0.500 0.165
Ni3 Ni 0.500 0.000 0.500
Ni4 Ni 0.500 0.251 0.252
Ni5 Ni 0.500 0.500 0.000